Version w
This record from Alexandria via LeMat-Bulk describes crystalline Dy3SnHg2 at its relaxed geometry. The functional is PBE.

Summary:
Total moment: 0.00 μB per cell

a b c (Å): 3.7085 3.7085 11.3658
angles (deg): 90.00 90.00 90.00
Space group P4/mmm (No. 123)
Unique sites:
1 Dy 0.0000 0.0000 0.0000
2 Dy 0.0000 0.0000 0.3279
3 Sn 0.5000 0.5000 0.5000
4 Hg 0.5000 0.5000 0.1577

---

Version x
This record from Alexandria via LeMat-Bulk describes crystalline Dy3SnHg2 at its relaxed geometry. The functional is PBE.

Summary:
Total moment: 0.00 μB per cell

a b c (Å): 5.2819 15.9728 3.7090
angles (deg): 90.00 90.00 90.00
Space group Cmmm (No. 65)
Unique sites:
1 Dy 0.0000 0.0000 0.0000
2 Dy 0.0000 0.3338 0.0000
3 Sn 0.0000 0.5000 0.5000
4 Hg 0.0000 0.1746 0.5000

---

Energy relative to the most stable one, in kJ/mol of atoms: version w 1.5; version x 0.0

---

Version w
This record from Alexandria via LeMat-Bulk describes crystalline Dy2Sn4Hg at its relaxed geometry. The functional is PBE.

Summary:
Total moment: 0.00 μB per cell

a b c (Å): 4.4761 4.4761 9.4627
angles (deg): 90.00 90.00 90.00
Space group P-4m2 (No. 115)
Unique sites:
1 Dy 0.0000 0.5000 0.2360
2 Sn 0.0000 0.0000 0.5000
3 Sn 0.0000 0.5000 0.8016
4 Sn 0.5000 0.5000 0.5000
5 Hg 0.5000 0.5000 0.0000

---

Version x
This record from Alexandria via LeMat-Bulk describes crystalline Dy2Sn4Hg at its relaxed geometry. The functional is PBE.

Summary:
Total moment: 0.00 μB per cell

a b c (Å): 9.0478 9.2269 4.5837
angles (deg): 90.00 90.00 90.00
Space group Cmmm (No. 65)
Unique sites:
1 Dy 0.0000 0.2458 0.0000
2 Sn 0.2351 0.5000 0.0000
3 Sn 0.2500 0.2500 0.5000
4 Hg 0.0000 0.0000 0.5000

---

Energy relative to the most stable one, in kJ/mol of atoms: version w 2.1; version x 0.0